No. 1
4
Lattice="-3.284 4.327 -1.196 -5.259 -0.857 -1.595 -4.192 1.335 3.404" Properties=species:S:1:pos:R:3 comment="AcTmLuPb (PBE, relaxed)" space_group=F-43m dos_ef_per_ev_cell=7.05 formation_enthalpy_0k_ev_per_atom=0.018 pbc="T T T"
Ac -9.551 3.604 0.460
Pb -3.184 1.201 0.153
Lu 0.000 0.000 0.000
Tm -6.367 2.403 0.306

---

No. 2
4
Lattice="-2.150 2.649 4.429 -4.912 -1.626 2.117 -0.193 -2.561 4.966" Properties=species:S:1:pos:R:3 comment="AcYLuPb (PBE, relaxed)" space_group=F-43m dos_ef_per_ev_cell=7.02 formation_enthalpy_0k_ev_per_atom=-0.018 pbc="T T T"
Lu -1.814 -0.384 2.878
Y -5.441 -1.153 8.635
Pb -3.627 -0.769 5.757
Ac 0.000 0.000 0.000

---

No. 3
4
Lattice="-4.423 0.360 3.189 -2.828 -4.501 1.268 0.138 -1.968 5.096" Properties=species:S:1:pos:R:3 comment="AcLuZnPb (PBE, relaxed)" space_group=F-43m dos_ef_per_ev_cell=3.90 formation_enthalpy_0k_ev_per_atom=-0.272 pbc="T T T"
Pb -3.556 -3.055 4.777
Ac -1.778 -1.527 2.388
Zn 0.000 0.000 0.000
Lu -5.334 -4.582 7.165

---

No. 4
4
Lattice="-0.214 0.637 -3.668 -3.326 0.473 -1.619 -0.503 11.762 0.178" Properties=species:S:1:pos:R:3 comment="Ac2LuPd (PBE, relaxed)" space_group=R-3m dos_ef_per_ev_cell=5.03 e_above_lowest_polymorph_mev_per_atom=470 formation_enthalpy_0k_ev_per_atom=0.188 pbc="T T T"
Lu -2.021 6.436 -2.555
Ac -0.665 9.028 -0.288
Pd 0.000 0.000 0.000
Ac -3.377 3.845 -4.821

---

No. 5
4
Lattice="3.930 0.000 0.000 0.000 3.930 0.000 0.000 0.000 8.389" Properties=species:S:1:pos:R:3 comment="Ac2LuPd (PBE, relaxed)" space_group=P4/mmm dos_ef_per_ev_cell=3.62 e_above_lowest_polymorph_mev_per_atom=0 formation_enthalpy_0k_ev_per_atom=-0.282 pbc="T T T"
Pd 1.965 1.965 0.000
Ac 0.000 0.000 6.603
Lu 1.965 1.965 4.195
Ac 0.000 0.000 1.786

---

No. 6
5
Lattice="5.429 0.000 0.000 0.000 5.429 0.000 0.000 0.000 5.429" Properties=species:S:1:pos:R:3 comment="AcLu3Pd (PBE, relaxed)" space_group=Pm-3m dos_ef_per_ev_cell=6.59 formation_enthalpy_0k_ev_per_atom=-0.265 pbc="T T T"
Lu 0.000 2.714 0.000
Lu 0.000 0.000 2.714
Pd 0.000 0.000 0.000
Lu 2.714 0.000 0.000
Ac 2.714 2.714 2.714

---

No. 7
4
Lattice="3.610 0.000 0.000 0.000 3.610 0.000 0.000 0.000 7.274" Properties=species:S:1:pos:R:3 comment="AcLuPd2 (PBE, relaxed)" space_group=P4/mmm dos_ef_per_ev_cell=3.80 e_above_lowest_polymorph_mev_per_atom=23 formation_enthalpy_0k_ev_per_atom=-0.797 pbc="T T T"
Ac 1.805 1.805 3.637
Pd 0.000 0.000 5.749
Pd 0.000 0.000 1.525
Lu 1.805 1.805 0.000

---

No. 8
4
Lattice="5.154 0.000 0.000 2.577 4.464 0.000 2.577 1.488 4.208" Properties=species:S:1:pos:R:3 comment="AcLuPd2 (PBE, relaxed)" space_group=Fm-3m dos_ef_per_ev_cell=3.10 e_above_lowest_polymorph_mev_per_atom=83 formation_enthalpy_0k_ev_per_atom=-0.738 pbc="T T T"
Pd 2.577 1.488 1.052
Ac 5.154 2.976 2.104
Pd 7.731 4.464 3.156
Lu 0.000 0.000 0.000

---

No. 9
4
Lattice="-0.753 3.684 2.865 0.283 -0.554 4.686 4.963 2.222 2.347" Properties=species:S:1:pos:R:3 comment="AcLuPd2 (PBE, relaxed)" space_group=R-3m dos_ef_per_ev_cell=2.32 e_above_lowest_polymorph_mev_per_atom=0 formation_enthalpy_0k_ev_per_atom=-0.820 pbc="T T T"
Pd 1.643 1.458 2.457
Ac 0.000 0.000 0.000
Lu 2.247 2.676 4.949
Pd 2.850 3.895 7.441

---

No. 10
6
Lattice="5.546 0.000 0.000 2.773 4.803 0.000 2.773 1.601 4.528" Properties=species:S:1:pos:R:3 comment="AcLuPd4 (PBE, relaxed)" space_group=F-43m dos_ef_per_ev_cell=1.80 formation_enthalpy_0k_ev_per_atom=-0.763 pbc="T T T"
Pd 5.546 1.611 2.827
Ac 0.000 0.000 0.000
Pd 5.546 3.202 0.577
Pd 6.924 3.997 2.827
Pd 4.168 3.997 2.827
Lu 2.773 1.601 1.132

---

No. 11
4
Lattice="5.080 0.000 0.000 2.540 4.399 0.000 2.540 1.466 4.148" Properties=species:S:1:pos:R:3 comment="AcLuPdRh (PBE, relaxed)" space_group=F-43m dos_ef_per_ev_cell=2.81 formation_enthalpy_0k_ev_per_atom=-0.698 pbc="T T T"
Rh 2.540 1.466 1.037
Lu 5.080 2.933 2.074
Pd 7.620 4.399 3.111
Ac 0.000 0.000 0.000

---

No. 12
4
Lattice="-4.085 -2.709 1.203 -1.156 -4.135 -2.651 0.524 -4.565 2.088" Properties=species:S:1:pos:R:3 comment="AcLuPdRu (PBE, relaxed)" space_group=F-43m dos_ef_per_ev_cell=3.43 formation_enthalpy_0k_ev_per_atom=-0.440 pbc="T T T"
Pd -1.179 -2.852 0.160
Ac 0.000 0.000 0.000
Lu -2.358 -5.704 0.320
Ru -3.537 -8.557 0.480

---

Copy entry 11 word for word.
4
Lattice="5.080 0.000 0.000 2.540 4.399 0.000 2.540 1.466 4.148" Properties=species:S:1:pos:R:3 comment="AcLuPdRh (PBE, relaxed)" space_group=F-43m dos_ef_per_ev_cell=2.81 formation_enthalpy_0k_ev_per_atom=-0.698 pbc="T T T"
Rh 2.540 1.466 1.037
Lu 5.080 2.933 2.074
Pd 7.620 4.399 3.111
Ac 0.000 0.000 0.000